DFT (GGA-PBE) results for Sr2GaSn after structural relaxation.

Summary:
- DFT formation energy (eV per atom) = -0.27
- density of states at the Fermi level (states/eV/atom) = 0.71
- crystal system = monoclinic

```
data_Sr2GaSn
_cell_length_a 11.381
_cell_length_b 5.604
_cell_length_c 10.511
_cell_angle_alpha 90.00
_cell_angle_beta 117.84
_cell_angle_gamma 90.00
_space_group_name_H-M_alt 'C 1 2/c 1'
_space_group_IT_number 15
_space_group_name_Hall '-C 2yc'
loop_
_atom_site_label
_atom_site_type_symbol
_atom_site_fract_x
_atom_site_fract_y
_atom_site_fract_z
_atom_site_occupancy
Sr1 Sr 0.184 0.011 0.092 1
Ga1 Ga 0.000 0.236 0.750 1
Sn1 Sn 0.000 0.266 0.250 1
```

***

DFT (GGA-PBE) results for Sr2GaSn2 after structural relaxation.

Summary:
- DFT formation energy (eV per atom) = -0.48
- density of states at the Fermi level (states/eV/atom) = 0.82
- crystal system = orthorhombic

```
data_Sr2GaSn2
_cell_length_a 4.627
_cell_length_b 18.219
_cell_length_c 7.949
_cell_angle_alpha 90.00
_cell_angle_beta 90.00
_cell_angle_gamma 90.00
_space_group_name_H-M_alt 'C m c 21'
_space_group_IT_number 36
_space_group_name_Hall 'C 2c -2'
loop_
_atom_site_label
_atom_site_type_symbol
_atom_site_fract_x
_atom_site_fract_y
_atom_site_fract_z
_atom_site_occupancy
Sr1 Sr 0.000 0.030 0.000 1
Sr2 Sr 0.000 0.215 0.293 1
Ga1 Ga 0.000 0.423 0.165 1
Sn1 Sn 0.000 0.160 0.707 1
Sn2 Sn 0.000 0.428 0.801 1
```

***

DFT (GGA-PBE) results for SrGaSn3 after structural relaxation.

Summary:
- DFT formation energy (eV per atom) = -0.28
- density of states at the Fermi level (states/eV/atom) = 0.43
- crystal system = monoclinic

```
data_SrGaSn3
_cell_length_a 16.754
_cell_length_b 5.439
_cell_length_c 6.705
_cell_angle_alpha 90.00
_cell_angle_beta 112.35
_cell_angle_gamma 90.00
_space_group_name_H-M_alt 'C 1 2/m 1'
_space_group_IT_number 12
_space_group_name_Hall '-C 2y'
loop_
_atom_site_label
_atom_site_type_symbol
_atom_site_fract_x
_atom_site_fract_y
_atom_site_fract_z
_atom_site_occupancy
Sr1 Sr 0.144 0.000 0.276 1
Ga1 Ga 0.007 0.500 0.812 1
Sn1 Sn 0.057 0.000 0.730 1
Sn2 Sn 0.135 0.500 0.610 1
Sn3 Sn 0.247 0.000 0.857 1
```

***

- Which value of DFT formation energy does entry 3 give?
  -0.28 eV per atom